Record 1
Co2MoOs: optimized geometry, GGA-PBE.

a = 2.6577 Å, b = 2.6577 Å, c = 25.7893 Å
α = 90.00°, β = 90.00°, γ = 120.00°
Space group R-3m (No. 166, hexagonal axes)
One atom of each set of equivalent atoms:
Co 0.0000 0.0000 0.2483 x6
Mo 0.0000 0.0000 0.0000 x3
Os 0.0000 0.0000 0.5000 x3

## Properties
polymorph energy (0 for the lowest one)	225	meV/atom
DFT formation energy	0.2231	eV per atom

Record 2
Tm4CuIr2: optimized geometry, GGA-PBE.

a = 7.199 Å, b = 7.225 Å, c = 7.338 Å
α = 108.37°, β = 108.65°, γ = 107.75°
Space group P1 (No. 1)
One atom of each set of equivalent atoms:
Tm 0.000 0.000 0.000 x1
Tm 0.059 0.552 0.179 x1
Tm 0.216 0.343 0.826 x1
Tm 0.375 0.113 0.457 x1
Tm 0.444 0.691 0.657 x1
Tm 0.580 0.166 0.061 x1
Tm 0.710 0.850 0.336 x1
Tm 0.862 0.505 0.602 x1
Cu 0.158 0.894 0.649 x1
Cu 0.667 0.512 0.891 x1
Ir 0.032 0.272 0.386 x1
Ir 0.279 0.786 0.009 x1
Ir 0.426 0.422 0.278 x1
Ir 0.758 0.154 0.759 x1

## Properties
polymorph energy (0 for the lowest one)	54	meV/atom
DFT formation energy	-0.6612	eV per atom

Record 3
Er4BiAs2Se: optimized geometry, GGA-PBE.

a = 7.196 Å, b = 4.152 Å, c = 7.258 Å
α = 90.00°, β = 109.19°, γ = 90.00°
Space group P2/m (No. 10)
One atom of each set of equivalent atoms:
Er 0.238 0.000 0.230 x2
Er 0.251 0.500 0.767 x2
Bi 0.500 0.500 0.500 x1
As 0.000 0.500 0.000 x1
As 0.500 0.000 0.000 x1
Se 0.000 0.000 0.500 x1

## Properties
E_form (uncorrected)	-1.403	eV per atom

Record 4
OsO2F2: optimized geometry, GGA-PBE.

a = 3.886 Å, b = 3.886 Å, c = 3.641 Å
α = 90.00°, β = 90.00°, γ = 90.00°
Space group P4/mmm (No. 123)
One atom of each set of equivalent atoms:
Os 0.000 0.000 0.000 x1
O 0.500 0.500 0.000 x1
O 0.500 0.500 0.500 x1
F 0.000 0.500 0.500 x2

## Properties
polymorph energy (0 for the lowest one)	2288	meV/atom
E_form (uncorrected)	1.155	eV per atom